Record 1
DFT (GGA-PBE) results for HfPaP2Ru5 after structural relaxation.

The space group is P4/mmm (No. 123) and the conventional cell measures 4.0882, 4.0882 and 8.4411 Å, with angles of 90.00, 90.00 and 90.00 degrees. Symmetry generates all atoms from Hf at (0.0000, 0.0000, 0.0000), Pa at (0.0000, 0.0000, 0.5000), P at (0.5000, 0.5000, 0.3601), Ru at (0.0000, 0.5000, 0.2324) and Ru at (0.5000, 0.5000, 0.0000).

As for the crystal system: tetragonal. The value obtained for the theoretical density is 11.50 g/cm3. As for the spin magnetization: 0.3 μB/f.u. Its formation energy is -0.735 eV per atom.

=====

Record 2
DFT (GGA-PBE) results for HgPb3Se after structural relaxation.

The space group is Pm-3m (No. 221) and the conventional cell measures 5.7000, 5.7000 and 5.7000 Å, with angles of 90.00, 90.00 and 90.00 degrees. Symmetry generates all atoms from Hg at (0.0000, 0.0000, 0.0000), Pb at (0.0000, 0.0000, 0.5000) and Se at (0.5000, 0.5000, 0.5000).

As for the crystal system: cubic. The value obtained for the theoretical density is 8.08 g/cm3. As for the spin magnetization: 0.0 μB/f.u. The raw formation energy comes out at 0.461 eV/atom. The excess energy over the best structure of this formula in the dataset comes out at 224 meV/atom.

=====

Record 3
DFT (GGA-PBE) results for Si3Sb after structural relaxation.

The space group is P6_3/mmc (No. 194) and the conventional cell measures 7.3562, 7.3562 and 3.3358 Å, with angles of 90.00, 90.00 and 120.00 degrees. Symmetry generates all atoms from Si at (0.1474, 0.2947, 0.2500) and Sb at (0.3333, 0.6667, 0.7500).

As for the crystal system: hexagonal. The value obtained for the theoretical density is 4.38 g/cm3. As for the spin magnetization: 0.0 μB/f.u. The raw formation energy comes out at 0.405 eV/atom. The excess energy over the best structure of this formula in the dataset comes out at 67 meV/atom.

=====

Record 4
DFT (GGA-PBE) results for Pm2USe6 after structural relaxation.

The space group is P4_2/mnm (No. 136) and the conventional cell measures 6.7413, 6.7413 and 12.7671 Å, with angles of 90.00, 90.00 and 90.00 degrees. Symmetry generates all atoms from Pm at (0.0000, 0.0000, 0.1654), U at (0.0000, 0.0000, 0.5000), Se at (0.1912, 0.1912, 0.3451) and Se at (0.2129, 0.2129, 0.0000).

As for the crystal system: tetragonal. The value obtained for the theoretical density is 5.73 g/cm3. As for the spin magnetization: 0.1 μB/f.u. The raw formation energy comes out at -1.342 eV/atom.

=====

Record 5
DFT (GGA-PBE) results for SrCa4Mg2 after structural relaxation.

The space group is Cmmm (No. 65) and the conventional cell measures 6.0251, 22.6621 and 3.9401 Å, with angles of 90.00, 90.00 and 90.00 degrees. Symmetry generates all atoms from Sr at (0.0000, 0.0000, 0.0000), Ca at (0.0000, 0.1522, 0.5000), Ca at (0.0000, 0.3036, 0.0000) and Mg at (0.0000, 0.4320, 0.5000).

As for the crystal system: orthorhombic. The value obtained for the theoretical density is 1.83 g/cm3. As for the spin magnetization: 0.0 μB/f.u. Its formation energy is 0.018 eV per atom. The excess energy over the best structure of this formula in the dataset comes out at 0 meV/atom.

=====

Record 6
DFT (GGA-PBE) results for CdP after structural relaxation.

The space group is Fd-3m (No. 227, origin choice 2) and the conventional cell measures 6.7510, 6.7510 and 6.7510 Å, with angles of 90.00, 90.00 and 90.00 degrees. Symmetry generates all atoms from Cd at (0.1250, 0.1250, 0.1250) and P at (0.1250, 0.1250, 0.6250).

As for the crystal system: cubic. The value obtained for the theoretical density is 6.19 g/cm3. As for the spin magnetization: 0.0 μB/f.u. Its formation energy is 0.569 eV per atom. The excess energy over the best structure of this formula in the dataset comes out at 611 meV/atom.